A relaxed structure of KY2Cd, computed with PBE.

Cell lengths 6.2033, 6.2033, 3.6543 Å; angles 90.00, 90.00, 112.06 degrees
Fractional coordinates of all 4 atoms:
K1 0.0000 0.0000 0.0000
Y1 0.0000 0.5000 0.5000
Y2 0.5000 0.0000 0.5000
Cd1 0.5000 0.5000 0.0000

## Properties
E ... -3.343 eV/atom
Formation energy from the elements ... 392 meV/atom
Crystal system ... orthorhombic
Space-group type ... No. 65
Calculated density ... 4196 kg/m³